1.
The following is a GGA-PBE calculation of a geometry-optimized Tb2Nd3Dy5 structure, from the Alexandria database.

```
data_Tb2Nd3Dy5
_space_group_name_H-M_alt 'P 1'
_space_group_IT_number 1
_space_group_name_Hall 'P 1'
_cell_length_a 11.063
_cell_length_b 11.063
_cell_length_c 11.063
_cell_angle_alpha 118.48
_cell_angle_beta 72.95
_cell_angle_gamma 144.73
loop_
_atom_site_label
_atom_site_type_symbol
_atom_site_fract_x
_atom_site_fract_y
_atom_site_fract_z
_atom_site_occupancy
Tb1 Tb 0.029 0.236 0.265 1
Tb2 Tb 0.471 0.736 0.207 1
Tb3 Tb 0.529 0.264 0.793 1
Tb4 Tb 0.971 0.764 0.735 1
Nd1 Nd 0.172 0.712 0.885 1
Nd2 Nd 0.250 0.250 0.000 1
Nd3 Nd 0.328 0.212 0.540 1
Nd4 Nd 0.672 0.788 0.460 1
Nd5 Nd 0.750 0.750 0.000 1
Nd6 Nd 0.828 0.288 0.115 1
Dy1 Dy 0.069 0.250 0.819 1
Dy2 Dy 0.169 0.407 0.576 1
Dy3 Dy 0.250 0.750 0.500 1
Dy4 Dy 0.331 0.907 0.238 1
Dy5 Dy 0.431 0.250 0.181 1
Dy6 Dy 0.569 0.750 0.819 1
Dy7 Dy 0.669 0.093 0.762 1
Dy8 Dy 0.750 0.250 0.500 1
Dy9 Dy 0.831 0.593 0.424 1
Dy10 Dy 0.931 0.750 0.181 1
```

Calculated values
Fermi-level density of states, states/eV/cell: 32.79

***

2.
The following is a GGA-PBE calculation of a geometry-optimized Tb2Nd3Dy5 structure, from the Alexandria database.

```
data_Tb2Nd3Dy5
_space_group_name_H-M_alt 'P 1'
_space_group_IT_number 1
_space_group_name_Hall 'P 1'
_cell_length_a 9.656
_cell_length_b 9.656
_cell_length_c 9.429
_cell_angle_alpha 108.40
_cell_angle_beta 108.40
_cell_angle_gamma 112.50
loop_
_atom_site_label
_atom_site_type_symbol
_atom_site_fract_x
_atom_site_fract_y
_atom_site_fract_z
_atom_site_occupancy
Tb1 Tb 0.034 0.270 0.046 1
Tb2 Tb 0.270 0.034 0.546 1
Tb3 Tb 0.730 0.966 0.454 1
Tb4 Tb 0.966 0.730 0.954 1
Nd1 Nd 0.231 0.481 0.453 1
Nd2 Nd 0.266 0.734 0.250 1
Nd3 Nd 0.481 0.231 0.953 1
Nd4 Nd 0.519 0.769 0.047 1
Nd5 Nd 0.734 0.266 0.750 1
Nd6 Nd 0.769 0.519 0.547 1
Dy1 Dy 0.030 0.970 0.750 1
Dy2 Dy 0.124 0.353 0.728 1
Dy3 Dy 0.227 0.773 0.750 1
Dy4 Dy 0.353 0.124 0.228 1
Dy5 Dy 0.475 0.525 0.250 1
Dy6 Dy 0.525 0.475 0.750 1
Dy7 Dy 0.647 0.876 0.772 1
Dy8 Dy 0.773 0.227 0.250 1
Dy9 Dy 0.876 0.647 0.272 1
Dy10 Dy 0.970 0.030 0.250 1
```

Calculated values
Fermi-level density of states, states/eV/cell: 36.05

***

Quick one: most stable of them? 2

***

1.
The following is a GGA-PBE calculation of a geometry-optimized TbNd2Dy2 structure, from the Alexandria database.

```
data_TbNd2Dy2
_space_group_name_H-M_alt 'P 1'
_space_group_IT_number 1
_space_group_name_Hall 'P 1'
_cell_length_a 8.568
_cell_length_b 8.568
_cell_length_c 6.833
_cell_angle_alpha 103.13
_cell_angle_beta 103.13
_cell_angle_gamma 43.42
loop_
_atom_site_label
_atom_site_type_symbol
_atom_site_fract_x
_atom_site_fract_y
_atom_site_fract_z
_atom_site_occupancy
Tb1 Tb 0.083 0.917 0.750 1
Tb2 Tb 0.917 0.083 0.250 1
Nd1 Nd 0.114 0.284 0.651 1
Nd2 Nd 0.284 0.114 0.151 1
Nd3 Nd 0.716 0.886 0.849 1
Nd4 Nd 0.886 0.716 0.349 1
Dy1 Dy 0.320 0.485 0.049 1
Dy2 Dy 0.485 0.320 0.549 1
Dy3 Dy 0.515 0.680 0.451 1
Dy4 Dy 0.680 0.515 0.951 1
```

Calculated values
Fermi-level density of states, states/eV/cell: 17.37

***

2.
The following is a GGA-PBE calculation of a geometry-optimized TbNd2Dy2 structure, from the Alexandria database.

```
data_TbNd2Dy2
_space_group_name_H-M_alt 'P 1'
_space_group_IT_number 1
_space_group_name_Hall 'P 1'
_cell_length_a 16.350
_cell_length_b 16.350
_cell_length_c 16.350
_cell_angle_alpha 167.18
_cell_angle_beta 159.77
_cell_angle_gamma 24.02
loop_
_atom_site_label
_atom_site_type_symbol
_atom_site_fract_x
_atom_site_fract_y
_atom_site_fract_z
_atom_site_occupancy
Tb1 Tb 0.331 0.081 0.250 1
Tb2 Tb 0.669 0.919 0.750 1
Nd1 Nd 0.128 0.378 0.750 1
Nd2 Nd 0.227 0.477 0.750 1
Nd3 Nd 0.773 0.523 0.250 1
Nd4 Nd 0.872 0.622 0.250 1
Dy1 Dy 0.041 0.791 0.250 1
Dy2 Dy 0.447 0.697 0.750 1
Dy3 Dy 0.553 0.303 0.250 1
Dy4 Dy 0.959 0.209 0.750 1
```

Calculated values
Fermi-level density of states, states/eV/cell: 14.47

***

Quick one: most stable of them? 1

***

1.
The following is a GGA-PBE calculation of a geometry-optimized TbNd2Dy9 structure, from the Alexandria database.

```
data_TbNd2Dy9
_space_group_name_H-M_alt 'P 1'
_space_group_IT_number 1
_space_group_name_Hall 'P 1'
_cell_length_a 5.043
_cell_length_b 5.043
_cell_length_c 15.129
_cell_angle_alpha 90.00
_cell_angle_beta 90.00
_cell_angle_gamma 90.00
loop_
_atom_site_label
_atom_site_type_symbol
_atom_site_fract_x
_atom_site_fract_y
_atom_site_fract_z
_atom_site_occupancy
Tb1 Tb 0.000 0.000 0.000 1
Nd1 Nd 0.000 0.000 0.333 1
Nd2 Nd 0.000 0.000 0.667 1
Dy1 Dy 0.000 0.500 0.165 1
Dy2 Dy 0.000 0.500 0.500 1
Dy3 Dy 0.000 0.500 0.835 1
Dy4 Dy 0.500 0.000 0.165 1
Dy5 Dy 0.500 0.000 0.500 1
Dy6 Dy 0.500 0.000 0.835 1
Dy7 Dy 0.500 0.500 0.000 1
Dy8 Dy 0.500 0.500 0.332 1
Dy9 Dy 0.500 0.500 0.668 1
```

Calculated values
Fermi-level density of states, states/eV/cell: 17.51

***

2.
The following is a GGA-PBE calculation of a geometry-optimized TbNd2Dy9 structure, from the Alexandria database.

```
data_TbNd2Dy9
_space_group_name_H-M_alt 'P 1'
_space_group_IT_number 1
_space_group_name_Hall 'P 1'
_cell_length_a 11.283
_cell_length_b 11.283
_cell_length_c 3.497
_cell_angle_alpha 90.00
_cell_angle_beta 90.00
_cell_angle_gamma 120.00
loop_
_atom_site_label
_atom_site_type_symbol
_atom_site_fract_x
_atom_site_fract_y
_atom_site_fract_z
_atom_site_occupancy
Tb1 Tb 0.000 0.000 0.000 1
Nd1 Nd 0.333 0.667 0.000 1
Nd2 Nd 0.667 0.333 0.000 1
Dy1 Dy 0.000 0.500 0.000 1
Dy2 Dy 0.174 0.347 0.500 1
Dy3 Dy 0.174 0.826 0.500 1
Dy4 Dy 0.347 0.174 0.500 1
Dy5 Dy 0.500 0.000 0.000 1
Dy6 Dy 0.500 0.500 0.000 1
Dy7 Dy 0.653 0.826 0.500 1
Dy8 Dy 0.826 0.174 0.500 1
Dy9 Dy 0.826 0.653 0.500 1
```

Calculated values
Fermi-level density of states, states/eV/cell: 18.45

***

Quick one: most stable of them? 1

***

1.
The following is a GGA-PBE calculation of a geometry-optimized TbNd6Dy8 structure, from the Alexandria database.

```
data_TbNd6Dy8
_space_group_name_H-M_alt 'P 1'
_space_group_IT_number 1
_space_group_name_Hall 'P 1'
_cell_length_a 8.733
_cell_length_b 8.733
_cell_length_c 8.733
_cell_angle_alpha 63.06
_cell_angle_beta 63.06
_cell_angle_gamma 63.06
loop_
_atom_site_label
_atom_site_type_symbol
_atom_site_fract_x
_atom_site_fract_y
_atom_site_fract_z
_atom_site_occupancy
Tb1 Tb 0.000 0.000 0.000 1
Nd1 Nd 0.103 0.538 0.229 1
Nd2 Nd 0.229 0.103 0.538 1
Nd3 Nd 0.462 0.771 0.897 1
Nd4 Nd 0.538 0.229 0.103 1
Nd5 Nd 0.771 0.897 0.462 1
Nd6 Nd 0.897 0.462 0.771 1
Dy1 Dy 0.112 0.718 0.748 1
Dy2 Dy 0.252 0.888 0.282 1
Dy3 Dy 0.282 0.252 0.888 1
Dy4 Dy 0.423 0.423 0.423 1
Dy5 Dy 0.577 0.577 0.577 1
Dy6 Dy 0.718 0.748 0.112 1
Dy7 Dy 0.748 0.112 0.718 1
Dy8 Dy 0.888 0.282 0.252 1
```

Calculated values
Fermi-level density of states, states/eV/cell: 21.50

***

2.
The following is a GGA-PBE calculation of a geometry-optimized TbNd6Dy8 structure, from the Alexandria database.

```
data_TbNd6Dy8
_space_group_name_H-M_alt 'P 1'
_space_group_IT_number 1
_space_group_name_Hall 'P 1'
_cell_length_a 9.427
_cell_length_b 9.427
_cell_length_c 6.536
_cell_angle_alpha 90.00
_cell_angle_beta 90.00
_cell_angle_gamma 120.00
loop_
_atom_site_label
_atom_site_type_symbol
_atom_site_fract_x
_atom_site_fract_y
_atom_site_fract_z
_atom_site_occupancy
Tb1 Tb 0.000 0.000 0.000 1
Nd1 Nd 0.034 0.287 0.667 1
Nd2 Nd 0.253 0.966 0.667 1
Nd3 Nd 0.287 0.253 0.333 1
Nd4 Nd 0.713 0.747 0.667 1
Nd5 Nd 0.747 0.034 0.333 1
Nd6 Nd 0.966 0.713 0.333 1
Dy1 Dy 0.094 0.440 0.159 1
Dy2 Dy 0.333 0.667 0.622 1
Dy3 Dy 0.345 0.906 0.159 1
Dy4 Dy 0.440 0.345 0.841 1
Dy5 Dy 0.560 0.655 0.159 1
Dy6 Dy 0.655 0.094 0.841 1
Dy7 Dy 0.667 0.333 0.378 1
Dy8 Dy 0.906 0.560 0.841 1
```

Calculated values
Fermi-level density of states, states/eV/cell: 22.38

***

Quick one: most stable of them? 1

***

1.
The following is a GGA-PBE calculation of a geometry-optimized Tb5Nd2Dy4 structure, from the Alexandria database.

```
data_Tb5Nd2Dy4
_space_group_name_H-M_alt 'P 1'
_space_group_IT_number 1
_space_group_name_Hall 'P 1'
_cell_length_a 12.628
_cell_length_b 12.628
_cell_length_c 12.628
_cell_angle_alpha 164.05
_cell_angle_beta 137.89
_cell_angle_gamma 45.30
loop_
_atom_site_label
_atom_site_type_symbol
_atom_site_fract_x
_atom_site_fract_y
_atom_site_fract_z
_atom_site_occupancy
Tb1 Tb 0.000 0.000 0.000 1
Tb2 Tb 0.053 0.358 0.696 1
Tb3 Tb 0.338 0.642 0.696 1
Tb4 Tb 0.662 0.358 0.304 1
Tb5 Tb 0.947 0.642 0.304 1
Nd1 Nd 0.268 0.768 0.500 1
Nd2 Nd 0.732 0.232 0.500 1
Dy1 Dy 0.309 0.500 0.809 1
Dy2 Dy 0.403 0.903 0.500 1
Dy3 Dy 0.597 0.097 0.500 1
Dy4 Dy 0.691 0.500 0.191 1
```

Calculated values
Fermi-level density of states, states/eV/cell: 16.00

***

2.
The following is a GGA-PBE calculation of a geometry-optimized Tb5Nd2Dy4 structure, from the Alexandria database.

```
data_Tb5Nd2Dy4
_space_group_name_H-M_alt 'P 1'
_space_group_IT_number 1
_space_group_name_Hall 'P 1'
_cell_length_a 12.076
_cell_length_b 12.076
_cell_length_c 8.757
_cell_angle_alpha 96.66
_cell_angle_beta 96.66
_cell_angle_gamma 16.51
loop_
_atom_site_label
_atom_site_type_symbol
_atom_site_fract_x
_atom_site_fract_y
_atom_site_fract_z
_atom_site_occupancy
Tb1 Tb 0.000 0.000 0.000 1
Tb2 Tb 0.267 0.267 0.175 1
Tb3 Tb 0.359 0.359 0.878 1
Tb4 Tb 0.641 0.641 0.122 1
Tb5 Tb 0.733 0.733 0.825 1
Nd1 Nd 0.408 0.408 0.260 1
Nd2 Nd 0.592 0.592 0.740 1
Dy1 Dy 0.178 0.178 0.472 1
Dy2 Dy 0.454 0.454 0.639 1
Dy3 Dy 0.546 0.546 0.361 1
Dy4 Dy 0.822 0.822 0.528 1
```

Calculated values
Fermi-level density of states, states/eV/cell: 19.89

***

Quick one: most stable of them? 2